Cd4CoO5, relaxed, DFT PBE with a Hubbard U; density = 7.55 g cm⁻³; calculated total energy = -4.325 eV per atom; total magnetization = 2.9 μB/cell
1.0
4.723 0.000 0.000
2.362 5.236 0.000
2.362 0.000 5.236
O Cd Co
5 4 1
Direct
0.500 0.000 0.000
0.722 0.193 0.364
0.280 0.807 0.636
0.916 0.364 0.807
0.087 0.636 0.193
0.599 0.605 0.199
0.204 0.199 0.395
0.798 0.801 0.605
0.403 0.395 0.801
0.001 0.000 0.000